# PBE Ba2In13Ir4, optimized geometry
# E, eV/atom: -4.22
# Formation energy, meV per atom: -283
data_Ba2In13Ir4
_symmetry_space_group_name_H-M 'P 1'
_symmetry_Int_Tables_number 1
_symmetry_space_group_name_Hall 'P 1'
_cell_length_a 14.842
_cell_length_b 14.842
_cell_length_c 14.003
_cell_angle_alpha 90.00
_cell_angle_beta 90.00
_cell_angle_gamma 162.56
loop_
_atom_site_label
_atom_site_fract_x
_atom_site_fract_y
_atom_site_fract_z
Ir1 0.686 0.314 0.263
Ir2 0.690 0.310 0.896
Ir3 0.582 0.418 0.204
Ir4 0.310 0.690 0.396
Ir5 0.589 0.411 0.582
Ir6 0.411 0.589 0.082
Ir7 0.314 0.686 0.763
Ir8 0.418 0.582 0.704
In1 0.849 0.151 0.056
In2 0.928 0.072 0.215
In3 0.345 0.655 0.574
In4 0.139 0.861 0.231
In5 0.224 0.776 0.786
In6 0.964 0.036 0.787
In7 0.784 0.216 0.878
In8 0.954 0.046 0.997
In9 0.655 0.345 0.074
In10 0.384 0.616 0.895
In11 0.353 0.647 0.229
In12 0.497 0.503 0.141
In13 0.151 0.849 0.556
In14 0.932 0.068 0.571
In15 0.776 0.224 0.286
In16 0.864 0.136 0.408
In17 0.647 0.353 0.729
In18 0.216 0.784 0.378
In19 0.616 0.384 0.395
In20 0.136 0.864 0.908
In21 0.046 0.954 0.497
In22 0.861 0.139 0.731
In23 0.072 0.928 0.715
In24 0.503 0.497 0.641
In25 0.036 0.964 0.287
In26 0.068 0.932 0.071
Ba1 0.461 0.539 0.394
Ba2 0.539 0.461 0.894
Ba3 0.251 0.749 0.070
Ba4 0.749 0.251 0.570



# PBE Sr2CuCl6, optimized geometry
# E, eV/atom: -3.86
# Energy relative to the elements, uncorrected, eV per atom: -1.8026
data_Sr2CuCl6
_symmetry_space_group_name_H-M 'P 1'
_symmetry_Int_Tables_number 1
_symmetry_space_group_name_Hall 'P 1'
_cell_length_a 6.433
_cell_length_b 7.948
_cell_length_c 9.139
_cell_angle_alpha 90.00
_cell_angle_beta 91.05
_cell_angle_gamma 90.00
loop_
_atom_site_label
_atom_site_fract_x
_atom_site_fract_y
_atom_site_fract_z
Cl1 0.609 0.474 0.239
Cl2 0.192 0.355 0.050
Cl3 0.692 0.145 0.550
Cl4 0.308 0.855 0.450
Cl5 0.891 0.974 0.261
Cl6 0.172 0.326 0.441
Cl7 0.808 0.645 0.950
Cl8 0.828 0.674 0.559
Cl9 0.391 0.526 0.761
Cl10 0.672 0.174 0.941
Cl11 0.328 0.826 0.059
Cl12 0.109 0.026 0.739
Cu1 0.000 0.000 0.500
Cu2 0.500 0.500 0.000
Sr1 0.956 0.381 0.737
Sr2 0.456 0.119 0.237
Sr3 0.544 0.881 0.763
Sr4 0.044 0.619 0.263



# PBE CoPRh, optimized geometry
# E, eV/atom: -7.22
# Formation energy, meV per atom: -598
data_CoPRh
_symmetry_space_group_name_H-M 'P 1'
_symmetry_Int_Tables_number 1
_symmetry_space_group_name_Hall 'P 1'
_cell_length_a 3.637
_cell_length_b 5.834
_cell_length_c 10.126
_cell_angle_alpha 88.87
_cell_angle_beta 90.00
_cell_angle_gamma 90.00
loop_
_atom_site_label
_atom_site_fract_x
_atom_site_fract_y
_atom_site_fract_z
P1 0.750 0.234 0.087
P2 0.250 0.766 0.913
P3 0.750 0.765 0.582
P4 0.250 0.235 0.418
P5 0.250 0.728 0.252
P6 0.750 0.272 0.748
Co1 0.250 0.859 0.462
Co2 0.750 0.141 0.538
Co3 0.250 0.984 0.087
Co4 0.750 0.642 0.786
Co5 0.250 0.358 0.214
Co6 0.750 0.016 0.913
Rh1 0.750 0.014 0.280
Rh2 0.250 0.370 0.915
Rh3 0.750 0.630 0.085
Rh4 0.250 0.451 0.614
Rh5 0.750 0.549 0.386
Rh6 0.250 0.986 0.720



# PBE BaSrRu2, optimized geometry
# ΔE to the lowest computed polymorph, meV/atom: 799
# E, eV/atom: -4.56
# Formation energy, meV per atom: 983
data_BaSrRu2
_symmetry_space_group_name_H-M 'P 1'
_symmetry_Int_Tables_number 1
_symmetry_space_group_name_Hall 'P 1'
_cell_length_a 5.876
_cell_length_b 5.876
_cell_length_c 5.876
_cell_angle_alpha 136.02
_cell_angle_beta 136.02
_cell_angle_gamma 63.96
loop_
_atom_site_label
_atom_site_fract_x
_atom_site_fract_y
_atom_site_fract_z
Ru1 0.250 0.750 0.500
Ru2 0.000 0.000 0.000
Sr1 0.500 0.500 0.000
Ba1 0.750 0.250 0.500



# PBE LaMn2Fe, optimized geometry
# ΔE to the lowest computed polymorph, meV/atom: 39
# E, eV/atom: -7.69
# Formation energy, meV per atom: 243
data_LaMn2Fe
_symmetry_space_group_name_H-M 'P 1'
_symmetry_Int_Tables_number 1
_symmetry_space_group_name_Hall 'P 1'
_cell_length_a 3.962
_cell_length_b 3.962
_cell_length_c 5.734
_cell_angle_alpha 69.79
_cell_angle_beta 69.79
_cell_angle_gamma 59.98
loop_
_atom_site_label
_atom_site_fract_x
_atom_site_fract_y
_atom_site_fract_z
La1 0.250 0.250 0.250
Mn1 0.060 0.060 0.819
Mn2 0.440 0.440 0.681
Fe1 0.750 0.750 0.750



# PBE Cs2MgNp2S6, optimized geometry
# E, eV/atom: -6.25
# Energy relative to the elements, uncorrected, eV per atom: -1.3488
data_Cs2MgNp2S6
_symmetry_space_group_name_H-M 'P 1'
_symmetry_Int_Tables_number 1
_symmetry_space_group_name_Hall 'P 1'
_cell_length_a 6.870
_cell_length_b 6.870
_cell_length_c 8.517
_cell_angle_alpha 97.46
_cell_angle_beta 97.46
_cell_angle_gamma 120.09
loop_
_atom_site_label
_atom_site_fract_x
_atom_site_fract_y
_atom_site_fract_z
S1 0.392 0.055 0.673
S2 0.724 0.724 0.672
S3 0.945 0.608 0.327
S4 0.276 0.276 0.328
S5 0.608 0.945 0.327
S6 0.055 0.392 0.673
Mg1 0.000 0.000 0.500
Cs1 0.164 0.836 0.000
Cs2 0.836 0.164 0.000
Np1 0.666 0.334 0.500
Np2 0.334 0.666 0.500



# PBE Hf2Al4Zn, optimized geometry
# E, eV/atom: -4.72
# Formation energy, meV per atom: 448
data_Hf2Al4Zn
_symmetry_space_group_name_H-M 'P 1'
_symmetry_Int_Tables_number 1
_symmetry_space_group_name_Hall 'P 1'
_cell_length_a 4.665
_cell_length_b 4.665
_cell_length_c 7.609
_cell_angle_alpha 72.15
_cell_angle_beta 72.15
_cell_angle_gamma 90.00
loop_
_atom_site_label
_atom_site_fract_x
_atom_site_fract_y
_atom_site_fract_z
Al1 0.000 0.500 0.000
Al2 0.822 0.822 0.356
Al3 0.178 0.178 0.644
Al4 0.500 0.000 0.000
Hf1 0.618 0.618 0.764
Hf2 0.382 0.382 0.236
Zn1 0.000 0.000 0.000



# PBE InBr2O, optimized geometry
# ΔE to the lowest computed polymorph, meV/atom: 0
# E, eV/atom: -3.59
# Energy relative to the elements, uncorrected, eV per atom: -0.8297
data_InBr2O
_symmetry_space_group_name_H-M 'P 1'
_symmetry_Int_Tables_number 1
_symmetry_space_group_name_Hall 'P 1'
_cell_length_a 3.960
_cell_length_b 6.739
_cell_length_c 8.660
_cell_angle_alpha 91.91
_cell_angle_beta 93.10
_cell_angle_gamma 105.17
loop_
_atom_site_label
_atom_site_fract_x
_atom_site_fract_y
_atom_site_fract_z
Br1 0.020 0.967 0.712
Br2 0.586 0.469 0.874
Br3 0.980 0.033 0.288
Br4 0.414 0.531 0.126
O1 0.715 0.402 0.580
O2 0.285 0.598 0.420
In1 0.164 0.299 0.532
In2 0.836 0.701 0.468



# PBE ScHRh3, optimized geometry
# ΔE to the lowest computed polymorph, meV/atom: 328
# E, eV/atom: -6.59
data_ScHRh3
_symmetry_space_group_name_H-M 'P 1'
_symmetry_Int_Tables_number 1
_symmetry_space_group_name_Hall 'P 1'
_cell_length_a 7.379
_cell_length_b 7.379
_cell_length_c 7.379
_cell_angle_alpha 60.00
_cell_angle_beta 60.00
_cell_angle_gamma 60.00
loop_
_atom_site_label
_atom_site_fract_x
_atom_site_fract_y
_atom_site_fract_z
Rh1 0.062 0.062 0.438
Rh2 0.188 0.188 0.812
Rh3 0.812 0.188 0.188
Rh4 0.812 0.188 0.812
Rh5 0.812 0.812 0.188
Rh6 0.438 0.438 0.062
Rh7 0.438 0.062 0.438
Rh8 0.062 0.438 0.438
Rh9 0.438 0.062 0.062
Rh10 0.188 0.812 0.188
Rh11 0.188 0.812 0.812
Rh12 0.062 0.438 0.062
Sc1 0.125 0.625 0.625
Sc2 0.625 0.625 0.125
Sc3 0.625 0.125 0.625
Sc4 0.625 0.625 0.625
H1 0.125 0.125 0.125
H2 0.125 0.625 0.125
H3 0.125 0.125 0.625
H4 0.625 0.125 0.125



# PBE KBaO2F, optimized geometry
# E, eV/atom: -4.36
# Energy relative to the elements, uncorrected, eV per atom: -1.3956
data_KBaO2F
_symmetry_space_group_name_H-M 'P 1'
_symmetry_Int_Tables_number 1
_symmetry_space_group_name_Hall 'P 1'
_cell_length_a 4.664
_cell_length_b 4.664
_cell_length_c 4.726
_cell_angle_alpha 90.00
_cell_angle_beta 90.00
_cell_angle_gamma 90.00
loop_
_atom_site_label
_atom_site_fract_x
_atom_site_fract_y
_atom_site_fract_z
K1 0.000 0.000 0.000
O1 0.000 0.500 0.000
O2 0.500 0.000 0.000
F1 0.000 0.000 0.500
Ba1 0.500 0.500 0.500



# PBE ZrPdO2F, optimized geometry
# E, eV/atom: -7.04
# Energy relative to the elements, uncorrected, eV per atom: -1.9295
data_ZrPdO2F
_symmetry_space_group_name_H-M 'P 1'
_symmetry_Int_Tables_number 1
_symmetry_space_group_name_Hall 'P 1'
_cell_length_a 4.161
_cell_length_b 4.161
_cell_length_c 4.186
_cell_angle_alpha 90.00
_cell_angle_beta 90.00
_cell_angle_gamma 90.00
loop_
_atom_site_label
_atom_site_fract_x
_atom_site_fract_y
_atom_site_fract_z
O1 0.500 0.000 0.000
O2 0.000 0.500 0.000
Pd1 0.500 0.500 0.500
F1 0.000 0.000 0.500
Zr1 0.000 0.000 0.000



# PBE ErAg3F6, optimized geometry
# ΔE to the lowest computed polymorph, meV/atom: 2
# E, eV/atom: -4.64
# Energy relative to the elements, uncorrected, eV per atom: -2.2042
data_ErAg3F6
_symmetry_space_group_name_H-M 'P 1'
_symmetry_Int_Tables_number 1
_symmetry_space_group_name_Hall 'P 1'
_cell_length_a 3.843
_cell_length_b 6.937
_cell_length_c 6.937
_cell_angle_alpha 113.99
_cell_angle_beta 90.00
_cell_angle_gamma 90.00
loop_
_atom_site_label
_atom_site_fract_x
_atom_site_fract_y
_atom_site_fract_z
F1 0.500 0.607 0.393
F2 0.000 0.141 0.370
F3 0.000 0.630 0.859
F4 0.000 0.859 0.630
F5 0.500 0.393 0.607
F6 0.000 0.370 0.141
Ag1 0.000 0.000 0.000
Ag2 0.500 0.500 0.000
Ag3 0.500 0.000 0.500
Er1 0.000 0.500 0.500



# PBE Ti2NbNi2, optimized geometry
# ΔE to the lowest computed polymorph, meV/atom: 80
# E, eV/atom: -7.64
# Formation energy, meV per atom: -159
data_Ti2NbNi2
_symmetry_space_group_name_H-M 'P 1'
_symmetry_Int_Tables_number 1
_symmetry_space_group_name_Hall 'P 1'
_cell_length_a 2.894
_cell_length_b 3.956
_cell_length_c 6.842
_cell_angle_alpha 73.20
_cell_angle_beta 90.00
_cell_angle_gamma 90.00
loop_
_atom_site_label
_atom_site_fract_x
_atom_site_fract_y
_atom_site_fract_z
Nb1 0.000 0.000 0.000
Ni1 0.000 0.805 0.390
Ni2 0.000 0.195 0.610
Ti1 0.500 0.364 0.272
Ti2 0.500 0.636 0.728



# PBE PrTi2Ir2, optimized geometry
# E, eV/atom: -8.44
# Formation energy, meV per atom: -786
data_PrTi2Ir2
_symmetry_space_group_name_H-M 'P 1'
_symmetry_Int_Tables_number 1
_symmetry_space_group_name_Hall 'P 1'
_cell_length_a 4.303
_cell_length_b 4.303
_cell_length_c 6.204
_cell_angle_alpha 110.29
_cell_angle_beta 110.29
_cell_angle_gamma 90.00
loop_
_atom_site_label
_atom_site_fract_x
_atom_site_fract_y
_atom_site_fract_z
Pr1 0.000 0.000 0.000
Ti1 0.750 0.250 0.500
Ti2 0.250 0.750 0.500
Ir1 0.623 0.623 0.245
Ir2 0.377 0.377 0.755



# PBE TlAsAu2, optimized geometry
# E, eV/atom: -3.31
# Formation energy, meV per atom: 82
data_TlAsAu2
_symmetry_space_group_name_H-M 'P 1'
_symmetry_Int_Tables_number 1
_symmetry_space_group_name_Hall 'P 1'
_cell_length_a 4.144
_cell_length_b 4.144
_cell_length_c 6.672
_cell_angle_alpha 71.02
_cell_angle_beta 71.02
_cell_angle_gamma 61.55
loop_
_atom_site_label
_atom_site_fract_x
_atom_site_fract_y
_atom_site_fract_z
As1 0.250 0.250 0.250
Tl1 0.750 0.750 0.750
Au1 0.981 0.981 0.055
Au2 0.519 0.519 0.445



# PBE In3AgH, optimized geometry
# ΔE to the lowest computed polymorph, meV/atom: 338
# E, eV/atom: -2.29
data_In3AgH
_symmetry_space_group_name_H-M 'P 1'
_symmetry_Int_Tables_number 1
_symmetry_space_group_name_Hall 'P 1'
_cell_length_a 5.356
_cell_length_b 5.356
_cell_length_c 5.356
_cell_angle_alpha 90.00
_cell_angle_beta 90.00
_cell_angle_gamma 90.00
loop_
_atom_site_label
_atom_site_fract_x
_atom_site_fract_y
_atom_site_fract_z
H1 0.500 0.500 0.500
In1 0.000 0.000 0.500
In2 0.000 0.500 0.000
In3 0.500 0.000 0.000
Ag1 0.000 0.000 0.000



# PBE LiNp2Cl11, optimized geometry
# E, eV/atom: -4.90
# Energy relative to the elements, uncorrected, eV per atom: -1.4641
data_LiNp2Cl11
_symmetry_space_group_name_H-M 'P 1'
_symmetry_Int_Tables_number 1
_symmetry_space_group_name_Hall 'P 1'
_cell_length_a 15.527
_cell_length_b 11.555
_cell_length_c 11.555
_cell_angle_alpha 52.37
_cell_angle_beta 47.79
_cell_angle_gamma 47.79
loop_
_atom_site_label
_atom_site_fract_x
_atom_site_fract_y
_atom_site_fract_z
Cl1 0.306 0.724 0.016
Cl2 0.105 0.553 0.190
Cl3 0.605 0.690 0.053
Cl4 0.849 0.810 0.447
Cl5 0.349 0.947 0.310
Cl6 0.161 0.558 0.442
Cl7 0.954 0.016 0.724
Cl8 0.839 0.442 0.558
Cl9 0.151 0.190 0.553
Cl10 0.000 0.000 0.000
Cl11 0.339 0.058 0.942
Cl12 0.661 0.942 0.058
Cl13 0.395 0.310 0.947
Cl14 0.046 0.984 0.276
Cl15 0.546 0.776 0.484
Cl16 0.694 0.276 0.984
Cl17 0.454 0.224 0.516
Cl18 0.194 0.484 0.776
Cl19 0.806 0.516 0.224
Cl20 0.500 0.500 0.500
Cl21 0.895 0.447 0.810
Cl22 0.651 0.053 0.690
Np1 0.582 0.732 0.268
Np2 0.918 0.232 0.768
Np3 0.082 0.768 0.232
Np4 0.418 0.268 0.732
Li1 0.250 0.250 0.250
Li2 0.750 0.750 0.750



# PBE Tb3PmNd2Sm6, optimized geometry
# E, eV/atom: -4.69
# Formation energy, meV per atom: 14
data_Tb3PmNd2Sm6
_symmetry_space_group_name_H-M 'P 1'
_symmetry_Int_Tables_number 1
_symmetry_space_group_name_Hall 'P 1'
_cell_length_a 6.276
_cell_length_b 6.276
_cell_length_c 12.012
_cell_angle_alpha 95.00
_cell_angle_beta 95.00
_cell_angle_gamma 120.00
loop_
_atom_site_label
_atom_site_fract_x
_atom_site_fract_y
_atom_site_fract_z
Sm1 0.084 0.417 0.253
Sm2 0.417 0.084 0.253
Sm3 0.916 0.583 0.747
Sm4 0.249 0.249 0.747
Sm5 0.751 0.751 0.253
Sm6 0.583 0.916 0.747
Tb1 0.833 0.167 0.500
Tb2 0.500 0.500 0.500
Tb3 0.167 0.833 0.500
Nd1 0.667 0.333 0.000
Nd2 0.333 0.667 0.000
Pm1 0.000 0.000 0.000



# PBE BAs3Pt, optimized geometry
# ΔE to the lowest computed polymorph, meV/atom: 793
# E, eV/atom: -3.86
# Formation energy, meV per atom: 1474
data_BAs3Pt
_symmetry_space_group_name_H-M 'P 1'
_symmetry_Int_Tables_number 1
_symmetry_space_group_name_Hall 'P 1'
_cell_length_a 4.938
_cell_length_b 4.938
_cell_length_c 4.938
_cell_angle_alpha 90.00
_cell_angle_beta 90.00
_cell_angle_gamma 90.00
loop_
_atom_site_label
_atom_site_fract_x
_atom_site_fract_y
_atom_site_fract_z
As1 0.500 0.000 0.000
As2 0.000 0.500 0.000
As3 0.000 0.000 0.500
Pt1 0.000 0.000 0.000
B1 0.500 0.500 0.500



# PBE Ce2ZnMo, optimized geometry
# ΔE to the lowest computed polymorph, meV/atom: 320
# E, eV/atom: -5.59
# Formation energy, meV per atom: 399
data_Ce2ZnMo
_symmetry_space_group_name_H-M 'P 1'
_symmetry_Int_Tables_number 1
_symmetry_space_group_name_Hall 'P 1'
_cell_length_a 2.897
_cell_length_b 2.897
_cell_length_c 11.961
_cell_angle_alpha 83.04
_cell_angle_beta 83.04
_cell_angle_gamma 60.00
loop_
_atom_site_label
_atom_site_fract_x
_atom_site_fract_y
_atom_site_fract_z
Ce1 0.090 0.090 0.731
Ce2 0.910 0.910 0.269
Zn1 0.000 0.000 0.000
Mo1 0.500 0.500 0.500